Entry 1:
# Sr2CdIn, single point on PBEsol structure, DFT meta-GGA SCAN
data_Sr2CdIn
_space_group_name_H-M_alt 'P 1'
_space_group_IT_number 1
_space_group_name_Hall 'P 1'
_cell_length_a 3.8239
_cell_length_b 5.6591
_cell_length_c 6.6736
_cell_angle_alpha 112.73
_cell_angle_beta 106.65
_cell_angle_gamma 90.00
loop_
_atom_site_label
_atom_site_fract_x
_atom_site_fract_y
_atom_site_fract_z
Sr1 0.0232 0.0320 0.0464
Sr2 0.2223 0.7135 0.4445
In1 0.7817 0.2657 0.5634
Cd1 0.4728 0.4888 0.9457
# **Space-group type**: Cm, No. 8
# **ΔE to the lowest computed polymorph**: 97.4 meV per atom

---

Entry 2:
# SrCd2In, single point on PBEsol structure, DFT meta-GGA SCAN
data_SrCd2In
_space_group_name_H-M_alt 'P 1'
_space_group_IT_number 1
_space_group_name_Hall 'P 1'
_cell_length_a 3.6552
_cell_length_b 3.6552
_cell_length_c 7.8177
_cell_angle_alpha 90.00
_cell_angle_beta 90.00
_cell_angle_gamma 90.00
loop_
_atom_site_label
_atom_site_fract_x
_atom_site_fract_y
_atom_site_fract_z
Cd1 0.0000 0.0000 0.0408
Cd2 0.5000 0.5000 0.2432
In1 0.0000 0.0000 0.4602
Sr1 0.5000 0.5000 0.7558
# **Space-group type**: P4mm, No. 99

---

Entry 3:
# Sr3CdIn, single point on PBEsol structure, DFT meta-GGA SCAN
data_Sr3CdIn
_space_group_name_H-M_alt 'P 1'
_space_group_IT_number 1
_space_group_name_Hall 'P 1'
_cell_length_a 6.2799
_cell_length_b 6.2799
_cell_length_c 6.2799
_cell_angle_alpha 90.00
_cell_angle_beta 90.00
_cell_angle_gamma 90.00
loop_
_atom_site_label
_atom_site_fract_x
_atom_site_fract_y
_atom_site_fract_z
Sr1 0.0000 0.5000 0.0000
Sr2 0.0000 0.0000 0.5000
Sr3 0.5000 0.0000 0.0000
Cd1 0.5000 0.5000 0.5000
In1 0.0000 0.0000 0.0000
# **Space-group type**: Pm-3m, No. 221

---

Entry 4:
# Sr4CdIn, single point on PBEsol structure, DFT meta-GGA SCAN
data_Sr4CdIn
_space_group_name_H-M_alt 'P 1'
_space_group_IT_number 1
_space_group_name_Hall 'P 1'
_cell_length_a 6.9709
_cell_length_b 6.9709
_cell_length_c 6.9709
_cell_angle_alpha 60.00
_cell_angle_beta 60.00
_cell_angle_gamma 60.00
loop_
_atom_site_label
_atom_site_fract_x
_atom_site_fract_y
_atom_site_fract_z
Cd1 0.7500 0.7500 0.7500
In1 0.0000 0.0000 0.0000
Sr1 0.3747 0.3747 0.3747
Sr2 0.3747 0.3747 0.8759
Sr3 0.8759 0.3747 0.3747
Sr4 0.3747 0.8759 0.3747
# **Space-group type**: F-43m, No. 216

---

Entry 5:
# SrCdIn2, single point on PBEsol structure, DFT meta-GGA SCAN
data_SrCdIn2
_space_group_name_H-M_alt 'P 1'
_space_group_IT_number 1
_space_group_name_Hall 'P 1'
_cell_length_a 5.2935
_cell_length_b 5.2935
_cell_length_c 5.2935
_cell_angle_alpha 60.00
_cell_angle_beta 60.00
_cell_angle_gamma 60.00
loop_
_atom_site_label
_atom_site_fract_x
_atom_site_fract_y
_atom_site_fract_z
Sr1 0.2500 0.2500 0.2500
Cd1 0.5000 0.5000 0.5000
In1 0.0000 0.0000 0.0000
In2 0.7500 0.7500 0.7500
# **Space-group type**: F-43m, No. 216

---

Entry 6:
# SrCd2In, single point on PBEsol structure, DFT meta-GGA SCAN
data_SrCd2In
_space_group_name_H-M_alt 'P 1'
_space_group_IT_number 1
_space_group_name_Hall 'P 1'
_cell_length_a 5.2139
_cell_length_b 5.2136
_cell_length_c 5.2136
_cell_angle_alpha 60.03
_cell_angle_beta 60.00
_cell_angle_gamma 60.00
loop_
_atom_site_label
_atom_site_fract_x
_atom_site_fract_y
_atom_site_fract_z
Sr1 0.2500 0.2500 0.2500
Cd1 0.0002 0.9998 0.9998
Cd2 0.7499 0.7501 0.7501
In1 0.4999 0.5001 0.5001
# **Space-group type**: F-43m, No. 216

---

Entry 7:
# SrCdIn2, single point on PBEsol structure, DFT meta-GGA SCAN
data_SrCdIn2
_space_group_name_H-M_alt 'P 1'
_space_group_IT_number 1
_space_group_name_Hall 'P 1'
_cell_length_a 4.7118
_cell_length_b 4.7118
_cell_length_c 4.7633
_cell_angle_alpha 90.00
_cell_angle_beta 90.00
_cell_angle_gamma 90.00
loop_
_atom_site_label
_atom_site_fract_x
_atom_site_fract_y
_atom_site_fract_z
Sr1 0.5000 0.5000 0.5000
Cd1 0.0000 0.0000 0.5000
In1 0.0000 0.5000 0.0000
In2 0.5000 0.0000 0.0000
# **Space-group type**: P4/mmm, No. 123

---

Entry 8:
# SrCdIn2, single point on PBEsol structure, DFT meta-GGA SCAN
data_SrCdIn2
_space_group_name_H-M_alt 'P 1'
_space_group_IT_number 1
_space_group_name_Hall 'P 1'
_cell_length_a 3.7459
_cell_length_b 3.7459
_cell_length_c 7.6306
_cell_angle_alpha 90.00
_cell_angle_beta 90.00
_cell_angle_gamma 90.00
loop_
_atom_site_label
_atom_site_fract_x
_atom_site_fract_y
_atom_site_fract_z
Cd1 0.5000 0.5000 0.5000
In1 0.0000 0.0000 0.7056
In2 0.0000 0.0000 0.2944
Sr1 0.5000 0.5000 0.0000
# **Space-group type**: P4/mmm, No. 123

---

Entry 9:
# Sr2CdIn, single point on PBEsol structure, DFT meta-GGA SCAN
data_Sr2CdIn
_space_group_name_H-M_alt 'P 1'
_space_group_IT_number 1
_space_group_name_Hall 'P 1'
_cell_length_a 5.6359
_cell_length_b 5.6359
_cell_length_c 5.6359
_cell_angle_alpha 60.00
_cell_angle_beta 60.00
_cell_angle_gamma 60.00
loop_
_atom_site_label
_atom_site_fract_x
_atom_site_fract_y
_atom_site_fract_z
Sr1 0.2500 0.2500 0.2500
Sr2 0.7500 0.7500 0.7500
In1 0.0000 0.0000 0.0000
Cd1 0.5000 0.5000 0.5000
# **Space-group type**: Fm-3m, No. 225
# **ΔE to the lowest computed polymorph**: 0.0 meV per atom

---

Entry 10:
# SrCdIn3, single point on PBEsol structure, DFT meta-GGA SCAN
data_SrCdIn3
_space_group_name_H-M_alt 'P 1'
_space_group_IT_number 1
_space_group_name_Hall 'P 1'
_cell_length_a 6.0892
_cell_length_b 6.0892
_cell_length_c 6.0892
_cell_angle_alpha 90.00
_cell_angle_beta 90.00
_cell_angle_gamma 90.00
loop_
_atom_site_label
_atom_site_fract_x
_atom_site_fract_y
_atom_site_fract_z
Sr1 0.0000 0.0000 0.0000
Cd1 0.5000 0.5000 0.5000
In1 0.0000 0.5000 0.0000
In2 0.0000 0.0000 0.5000
In3 0.5000 0.0000 0.0000
# **Space-group type**: Pm-3m, No. 221

---

Entry 11:
# Sr2CdIn, single point on PBEsol structure, DFT meta-GGA SCAN
data_Sr2CdIn
_space_group_name_H-M_alt 'P 1'
_space_group_IT_number 1
_space_group_name_Hall 'P 1'
_cell_length_a 3.8998
_cell_length_b 5.6749
_cell_length_c 5.7051
_cell_angle_alpha 90.00
_cell_angle_beta 90.00
_cell_angle_gamma 90.00
loop_
_atom_site_label
_atom_site_fract_x
_atom_site_fract_y
_atom_site_fract_z
Sr1 0.0000 0.0000 0.1146
Sr2 0.0000 0.5000 0.6374
Cd1 0.5000 0.0000 0.6020
In1 0.5000 0.5000 0.1460
# **Space-group type**: Pmm2, No. 25
# **ΔE to the lowest computed polymorph**: 0.4 meV per atom

---

Entry 12:
# SrCd2In, single point on PBEsol structure, DFT meta-GGA SCAN
data_SrCd2In
_space_group_name_H-M_alt 'P 1'
_space_group_IT_number 1
_space_group_name_Hall 'P 1'
_cell_length_a 4.8162
_cell_length_b 4.8167
_cell_length_c 6.1904
_cell_angle_alpha 112.89
_cell_angle_beta 90.00
_cell_angle_gamma 120.00
loop_
_atom_site_label
_atom_site_fract_x
_atom_site_fract_y
_atom_site_fract_z
Sr1 0.2518 0.5036 0.7553
In1 0.4695 0.9389 0.4082
Cd1 0.0378 0.0756 0.1136
Cd2 0.7409 0.4819 0.2228
# **Space-group type**: R3m, No. 160

---

Volume for the records above, in order: 126.6 104.4 247.7 239.5 104.9 100.2 105.7 107.1 126.6 225.8 126.3 111.1 Å³/cell
DFT formation energy for the records above, in order: -0.40 -0.24 0.00 0.35 -0.32 -0.29 -0.33 -0.30 -0.50 0.81 -0.50 -0.33 eV per atom